A plane-wave DFT calculation with PBE was carried out for a geometry-optimized DyCoSn2 structure. Values from VASP.

The structure in Quantum ESPRESSO input format:
```
&SYSTEM
  ibrav = 0, nat = 8, ntyp = 3
/
ATOMIC_SPECIES
Dy 162.50 Dy.upf
Co 58.93 Co.upf
Sn 118.71 Sn.upf
CELL_PARAMETERS angstrom
2.1782 -9.1692 0.0000
2.1782 9.1692 0.0000
0.0000 0.0000 4.4570
ATOMIC_POSITIONS angstrom
Dy 2.1782 7.0766 3.3427
Dy 2.1782 -7.0766 1.1142
Co 2.1782 3.2923 3.3427
Co 2.1782 -3.2923 1.1142
Sn 2.1782 4.5617 1.1142
Sn 2.1782 0.8761 3.3427
Sn 2.1782 -0.8761 1.1142
Sn 2.1782 -4.5617 3.3427
```

Properties
SG: No. 63
Total energy: -5.314 eV/atom